A plane-wave DFT calculation with GGA-PBEsol was carried out for crystalline LiTcPt2 at its relaxed geometry.

Computed properties:
Total moment: 1.317 μB/f.u.
Symmetry: I4/mmm, No. 139
Calculated density: 14.899 Mg/m³
Electronic total energy: -55.46 eV/cell

a b c (Å): 3.8412 3.8412 7.4796
angles (deg): 90.00 90.00 90.00
With the nearest neighbours (Å) after each atom.
Sites, in units of the cell vectors:
1 Li 0.0000 0.0000 0.0000  8 Pt 2.68, 4 Tc 2.72
2 Li 0.5000 0.5000 0.5000  8 Pt 2.68, 4 Tc 2.72
3 Tc 0.0000 0.0000 0.5000  8 Pt 2.68, 4 Li 2.72
4 Tc 0.5000 0.5000 0.0000  8 Pt 2.68, 4 Li 2.72
5 Pt 0.0000 0.5000 0.2500  4 Li 2.68, 4 Tc 2.68, 4 Pt 2.72
6 Pt 0.0000 0.5000 0.7500  4 Tc 2.68, 4 Li 2.68, 4 Pt 2.72
7 Pt 0.5000 0.0000 0.2500  4 Li 2.68, 4 Tc 2.68, 4 Pt 2.72
8 Pt 0.5000 0.0000 0.7500  4 Tc 2.68, 4 Li 2.68, 4 Pt 2.72

A plane-wave DFT calculation with GGA-PBEsol was carried out for crystalline KLa3Hf at its relaxed geometry.

Computed properties:
Total moment: 0.000 μB/f.u.
Symmetry: Pm-3m, No. 221
Calculated density: 5.128 Mg/m³
Electronic total energy: -24.82 eV/cell

a b c (Å): 5.9001 5.9001 5.9001
angles (deg): 90.00 90.00 90.00
With the nearest neighbours (Å) after each atom.
Sites, in units of the cell vectors:
1 K 0.0000 0.0000 0.0000  12 La 4.17
2 La 0.0000 0.5000 0.5000  2 Hf 2.95
3 La 0.5000 0.0000 0.5000  2 Hf 2.95
4 La 0.5000 0.5000 0.0000  2 Hf 2.95
5 Hf 0.5000 0.5000 0.5000  6 La 2.95

A plane-wave DFT calculation with GGA-PBEsol was carried out for crystalline LiFe3N at its relaxed geometry.

Computed properties:
Total moment: 4.281 μB/f.u.
Symmetry: Pm-3m, No. 221
Calculated density: 6.261 Mg/m³
E_form (uncorrected): -0.121 eV/atom

a b c (Å): 3.6838 3.6838 3.6838
angles (deg): 90.00 90.00 90.00
With the nearest neighbours (Å) after each atom.
Sites, in units of the cell vectors:
1 Li 0.0000 0.0000 0.0000  12 Fe 2.60
2 Fe 0.0000 0.5000 0.5000  2 N 1.84
3 Fe 0.5000 0.0000 0.5000  2 N 1.84
4 Fe 0.5000 0.5000 0.0000  2 N 1.84
5 N 0.5000 0.5000 0.5000  6 Fe 1.84

A plane-wave DFT calculation with GGA-PBEsol was carried out for crystalline KNbIN2 at its relaxed geometry.

Computed properties:
Total moment: 0.567 μB/f.u.
Symmetry: P4/mmm, No. 123
Calculated density: 4.731 Mg/m³
E_form (uncorrected): -0.034 eV/atom
Energy above the most stable polymorph in this dataset: 0.0 meV per atom

a b c (Å): 4.1882 4.1882 5.7410
angles (deg): 90.00 90.00 90.00
With the nearest neighbours (Å) after each atom.
Sites, in units of the cell vectors:
1 K 0.0000 0.0000 0.0000  4 I 2.96
2 Nb 0.5000 0.5000 0.5000  4 N 2.09
3 I 0.5000 0.5000 0.0000  2 Nb 2.87, 4 K 2.96
4 N 0.0000 0.5000 0.5000  2 Nb 2.09
5 N 0.5000 0.0000 0.5000  2 Nb 2.09

A plane-wave DFT calculation with GGA-PBEsol was carried out for crystalline LiLa2Hg at its relaxed geometry.

Computed properties:
Total moment: 0.002 μB/f.u.
Symmetry: P4/mmm, No. 123
Calculated density: 7.289 Mg/m³
Electronic total energy: -14.21 eV/cell

a b c (Å): 5.1962 5.1962 4.0952
angles (deg): 90.00 90.00 90.00
With the nearest neighbours (Å) after each atom.
Sites, in units of the cell vectors:
1 Li 0.0000 0.0000 0.0000  8 La 3.31, 4 Hg 3.67
2 La 0.0000 0.5000 0.5000  4 Hg 3.31, 4 Li 3.31, 4 La 3.67
3 La 0.5000 0.0000 0.5000  4 Hg 3.31, 4 Li 3.31, 4 La 3.67
4 Hg 0.5000 0.5000 0.0000  8 La 3.31, 4 Li 3.67

A plane-wave DFT calculation with GGA-PBEsol was carried out for crystalline ZrMoCl4 at its relaxed geometry.

Computed properties:
Total moment: 4.038 μB/f.u.
Symmetry: F-43m, No. 216
Calculated density: 4.581 Mg/m³
E_form (uncorrected): 0.864 eV/atom

a b c (Å): 5.5249 5.5249 5.5249
angles (deg): 60.00 60.00 60.00
With the nearest neighbours (Å) after each atom.
Sites, in units of the cell vectors:
1 Zr 0.0000 0.0000 0.0000  12 Cl 3.24, 4 Mo 3.38
2 Mo 0.2500 0.2500 0.2500  12 Cl 3.24, 4 Zr 3.38
3 Cl 0.1246 0.6251 0.6251  6 Cl 2.76-2.77
4 Cl 0.6251 0.1246 0.6251  6 Cl 2.76-2.77
5 Cl 0.6251 0.6251 0.1246  6 Cl 2.76-2.77
6 Cl 0.6251 0.6251 0.6251  6 Cl 2.76-2.77

A plane-wave DFT calculation with GGA-PBEsol was carried out for crystalline Fe2SiPb at its relaxed geometry.

Computed properties:
Total moment: 3.057 μB/f.u.
Symmetry: I-4m2, No. 119
Calculated density: 10.155 Mg/m³
E_form (uncorrected): 0.511 eV/atom
Energy above the most stable polymorph in this dataset: 275.9 meV per atom

a b c (Å): 3.6883 3.6883 8.3416
angles (deg): 90.00 90.00 90.00
With the nearest neighbours (Å) after each atom.
Sites, in units of the cell vectors:
1 Fe 0.0000 0.0000 0.0000  4 Pb 2.61, 4 Fe 2.78, 4 Si 2.78
2 Fe 0.0000 0.5000 0.2500  4 Si 2.61, 4 Pb 2.78, 4 Fe 2.78
3 Fe 0.5000 0.0000 0.7500  4 Si 2.61, 4 Fe 2.78, 4 Pb 2.78
4 Fe 0.5000 0.5000 0.5000  4 Pb 2.61, 4 Fe 2.78, 4 Si 2.78
5 Si 0.0000 0.5000 0.7500  8 Fe 2.61-2.78, 4 Pb 2.78
6 Si 0.5000 0.0000 0.2500  8 Fe 2.61-2.78, 4 Pb 2.78
7 Pb 0.0000 0.0000 0.5000  8 Fe 2.61-2.78, 4 Si 2.78
8 Pb 0.5000 0.5000 0.0000  8 Fe 2.61-2.78, 4 Si 2.78

A plane-wave DFT calculation with GGA-PBEsol was carried out for crystalline Ca11Si4ClO18 at its relaxed geometry.

Computed properties:
Total moment: 0.000 μB/f.u.
Symmetry: I4/mmm, No. 139
Calculated density: 3.030 Mg/m³
E_form (uncorrected): -2.985 eV/atom

a b c (Å): 8.5991 8.5991 8.5991
angles (deg): 105.20 105.20 118.40
With the nearest neighbours (Å) after each atom.
Sites, in units of the cell vectors:
1 Ca 0.0000 0.0000 0.0000  8 O 2.51
2 Ca 0.0000 0.5000 0.5000  6 O 2.20-2.37
3 Ca 0.0363 0.2934 0.7429  4 O 2.29-2.38
4 Ca 0.2934 0.0363 0.7429  4 O 2.29-2.38
5 Ca 0.2934 0.5505 0.2571  4 O 2.29-2.38
6 Ca 0.4495 0.7066 0.7429  4 O 2.29-2.38
7 Ca 0.5000 0.0000 0.5000  6 O 2.20-2.37
8 Ca 0.5505 0.2934 0.2571  4 O 2.29-2.38
9 Ca 0.7066 0.4495 0.7429  4 O 2.29-2.38
10 Ca 0.7066 0.9637 0.2571  4 O 2.29-2.38
11 Ca 0.9637 0.7066 0.2571  4 O 2.29-2.38
12 Si 0.2115 0.2115 0.4229  4 O 1.65
13 Si 0.2115 0.7885 0.0000  4 O 1.65
14 Si 0.7885 0.2115 0.0000  4 O 1.65
15 Si 0.7885 0.7885 0.5771  4 O 1.65
16 Cl 0.5000 0.5000 0.0000  8 Ca 3.24, 8 O 3.59
17 O 0.0060 0.0060 0.7115  1 Si 1.65
18 O 0.0060 0.2945 0.0000  1 Si 1.65
19 O 0.1831 0.3664 0.5496  1 Si 1.65
20 O 0.1831 0.6336 0.8167  1 Si 1.65
21 O 0.2500 0.7500 0.5000  2 Ca 2.20
22 O 0.2945 0.0060 0.0000  1 Si 1.65
23 O 0.2945 0.2945 0.2885  1 Si 1.65
24 O 0.3664 0.1831 0.5496  1 Si 1.65
25 O 0.3664 0.8169 0.1833  1 Si 1.65
26 O 0.6336 0.1831 0.8167  1 Si 1.65
27 O 0.6336 0.8169 0.4504  1 Si 1.65
28 O 0.7055 0.7055 0.7115  1 Si 1.65
29 O 0.7055 0.9940 0.0000  1 Si 1.65
30 O 0.7500 0.2500 0.5000  2 Ca 2.20
31 O 0.8169 0.3664 0.1833  1 Si 1.65
32 O 0.8169 0.6336 0.4504  1 Si 1.65
33 O 0.9940 0.7055 0.0000  1 Si 1.65
34 O 0.9940 0.9940 0.2885  1 Si 1.65